The following is a GGA-PBE calculation of La2Zn4Pd3Pt after structural relaxation, from the Alexandria database.

Properties
Calculated density in g/cm³: 8.9
Fermi-level density of states in states/eV per cell: 7.20
Formation energy in eV per atom: -0.671
VASP energy in eV per atom: -4.33
V in Å³ per cell: 197.4

```
data_La2Zn4Pd3Pt
_chemical_formula_sum 'La2 Zn4 Pd3 Pt1'
_cell_length_a 4.316
_cell_length_b 4.316
_cell_length_c 10.593
_cell_angle_alpha 90.00
_cell_angle_beta 90.00
_cell_angle_gamma 90.00
_symmetry_space_group_name_H-M 'P -4 m 2'
_symmetry_Int_Tables_number 115
loop_
_symmetry_equiv_pos_as_xyz
'x,y,z'
'y,-x,-z'
'-x,-y,z'
'-y,x,-z'
'-x,y,z'
'-y,-x,-z'
'x,-y,z'
'y,x,-z'
loop_
_atom_site_label
_atom_site_fract_x
_atom_site_fract_y
_atom_site_fract_z
La1 0.000 0.500 0.244
Zn1 0.000 0.000 0.500
Zn2 0.000 0.500 0.870
Zn3 0.500 0.500 0.500
Pd1 0.000 0.000 0.000
Pd2 0.000 0.500 0.634
Pt1 0.500 0.500 0.000
```